A geometry-optimized Sm2USi4Pt3 structure, computed with GGA-PBE.

Results
- E: -6.849 eV per atom
- Crystal system: tetragonal
- Fermi-level density of states: 10.2 states/eV/cell
- Spin magnetization: 2.3 μB/cell
- ΔE_f (raw): -0.7954 eV/atom

a = 4.242 Å, b = 4.242 Å, c = 10.923 Å
α = 90.00°, β = 90.00°, γ = 90.00°
Site moments in Bohr magnetons follow the coordinates.
Positions (direct):
Sm1 0.500 0.000 0.229  0.03
Sm2 0.000 0.500 0.771  0.03
U1 0.500 0.500 0.500  2.04
Si1 0.500 0.500 0.000  0.00
Si2 0.000 0.000 0.000  0.00
Si3 0.500 0.000 0.670  -0.01
Si4 0.000 0.500 0.330  -0.01
Pt1 0.000 0.000 0.500  -0.03
Pt2 0.500 0.000 0.891  0.01
Pt3 0.000 0.500 0.109  0.01

=====

A geometry-optimized SrCr2Ni structure, computed with GGA-PBE.

Results
- Energy above the most stable polymorph in this dataset: 579 meV/atom
- E: -5.702 eV per atom
- Crystal system: tetragonal
- Fermi-level density of states: 9.7 states/eV/cell
- Spin magnetization: 1.4 μB/cell

a = 4.297 Å, b = 4.297 Å, c = 9.324 Å
α = 76.68°, β = 76.68°, γ = 90.00°
Site moments in Bohr magnetons follow the coordinates.
Positions (direct):
Sr1 0.000 0.000 0.000  0.01
Sr2 0.750 0.250 0.500  0.01
Cr1 0.375 0.125 0.250  0.24
Cr2 0.375 0.625 0.250  0.26
Cr3 0.375 0.625 0.750  0.38
Cr4 0.875 0.625 0.750  0.40
Ni1 0.500 0.500 0.000  -0.04
Ni2 0.250 0.750 0.500  -0.04

=====

A geometry-optimized LiU2S5 structure, computed with GGA-PBE.

Results
- E: -6.911 eV per atom
- Crystal system: orthorhombic
- Fermi-level density of states: 19.1 states/eV/cell
- Spin magnetization: 6.0 μB/cell
- ΔE_f (raw): -1.2704 eV/atom

a = 5.282 Å, b = 6.930 Å, c = 12.720 Å
α = 90.00°, β = 90.00°, γ = 112.40°
Site moments in Bohr magnetons follow the coordinates.
Positions (direct):
Li1 0.789 0.579 0.750  0.00
Li2 0.211 0.421 0.250  0.00
U1 0.857 0.714 0.440  1.63
U2 0.857 0.714 0.060  1.63
U3 0.143 0.286 0.560  1.63
U4 0.143 0.286 0.940  1.63
S1 0.950 0.901 0.880  -0.08
S2 0.950 0.901 0.620  -0.08
S3 0.324 0.648 0.448  -0.07
S4 0.324 0.648 0.052  -0.07
S5 0.771 0.543 0.250  -0.06
S6 0.229 0.457 0.750  -0.06
S7 0.676 0.352 0.552  -0.07
S8 0.676 0.352 0.948  -0.07
S9 0.050 0.099 0.120  -0.08
S10 0.050 0.099 0.380  -0.08